Here is a geometry-optimized Fe2OsRu structure from Alexandria via LeMat-Bulk. Energies are from PBE-GGA.

a b c (Å): 2.6787 3.6963 5.1941
angles (deg): 90.00 90.00 90.00
Positions (direct):
Fe: 0.0000 0.0000 0.0000
Fe: 0.5000 0.5000 0.2334
Os: 0.0000 0.0000 0.4851
Ru: 0.5000 0.5000 0.7435

As for the space group: Pmm2. Its spin magnetization is 3.93 μB/f.u.

=====

Here is a geometry-optimized FeOs2Ru structure from Alexandria via LeMat-Bulk. Energies are from PBE-GGA.

a b c (Å): 2.6944 2.6944 7.4520
angles (deg): 90.00 90.00 90.00
Positions (direct):
Fe: 0.0000 0.0000 0.0000
Os: 0.0000 0.0000 0.5002
Os: 0.5000 0.5000 0.2394
Ru: 0.5000 0.5000 0.7580

As for the space group: P4mm. Its spin magnetization is 1.44 μB/f.u.

=====

Here is a geometry-optimized Fe2OsRu structure from Alexandria via LeMat-Bulk. Energies are from PBE-GGA.

a b c (Å): 5.0187 5.0187 5.0187
angles (deg): 147.12 127.97 62.93
Positions (direct):
Fe: 0.2483 0.2483 0.0000
Fe: 0.7517 0.7517 0.0000
Os: 0.0000 0.5000 0.5000
Ru: 0.5000 0.0000 0.5000

As for the space group: Immm. Its spin magnetization is 6.04 μB/f.u.

=====

In the order shown, the computed uncorrected energy values come out to -36.92; -39.52; -36.27 eV per cell.
In the order shown, the computed calculated volume values come out to 51; 54; 54 Å³ per cell.